1.
# Rb2SeO3 PBE-GGA relaxed
data_Rb2SeO3
_chemical_formula_sum 'Rb4 Se2 O6'
_space_group_name_H-M_alt 'P -1'
_space_group_IT_number 2
_space_group_name_Hall '-P 1'
_cell_length_a 6.120
_cell_length_b 6.857
_cell_length_c 8.038
_cell_angle_alpha 65.14
_cell_angle_beta 69.14
_cell_angle_gamma 65.89
loop_
_atom_site_label
_atom_site_fract_x
_atom_site_fract_y
_atom_site_fract_z
_atom_site_occupancy
Rb1 0.044 0.201 0.218 1
Rb2 0.319 0.570 0.236 1
Se1 0.345 0.136 0.691 1
O1 0.131 0.182 0.574 1
O2 0.198 0.325 0.816 1
O3 0.367 0.869 0.854 1
# Formation energy without anion corrections = -136.5 kJ per mole of atoms

2.
# KCaCd2 PBE-GGA relaxed
data_KCaCd2
_chemical_formula_sum 'K4 Ca4 Cd8'
_space_group_name_H-M_alt 'I -4 2 d'
_space_group_IT_number 122
_space_group_name_Hall 'I -4 2bw'
_cell_length_a 8.975
_cell_length_b 8.975
_cell_length_c 7.236
_cell_angle_alpha 90.00
_cell_angle_beta 90.00
_cell_angle_gamma 90.00
loop_
_atom_site_label
_atom_site_fract_x
_atom_site_fract_y
_atom_site_fract_z
_atom_site_occupancy
K1 0.000 0.000 0.000 1
Ca1 0.000 0.000 0.500 1
Cd1 0.231 0.250 0.625 1
# Calculated formation energy = 0.09 eV/atom
# Relative energy among the computed polymorphs = 235 meV/atom

3.
# KCrMo2 PBE-GGA relaxed
data_KCrMo2
_chemical_formula_sum 'K1 Cr1 Mo2'
_space_group_name_H-M_alt 'P 4/m m m'
_space_group_IT_number 123
_space_group_name_Hall '-P 4 2'
_cell_length_a 5.133
_cell_length_b 5.133
_cell_length_c 2.604
_cell_angle_alpha 90.00
_cell_angle_beta 90.00
_cell_angle_gamma 90.00
loop_
_atom_site_label
_atom_site_fract_x
_atom_site_fract_y
_atom_site_fract_z
_atom_site_occupancy
K1 0.000 0.000 0.000 1
Cr1 0.500 0.500 0.000 1
Mo1 0.000 0.500 0.500 1
# Calculated formation energy = 1.79 eV/atom
# Relative energy among the computed polymorphs = 981 meV/atom

4.
# La4Au2Cl PBE-GGA relaxed
data_La4Au2Cl
_chemical_formula_sum 'La8 Au4 Cl2'
_space_group_name_H-M_alt 'I 4/m m m'
_space_group_IT_number 139
_space_group_name_Hall '-I 4 2'
_cell_length_a 5.478
_cell_length_b 5.478
_cell_length_c 14.916
_cell_angle_alpha 90.00
_cell_angle_beta 90.00
_cell_angle_gamma 90.00
loop_
_atom_site_label
_atom_site_fract_x
_atom_site_fract_y
_atom_site_fract_z
_atom_site_occupancy
La1 0.000 0.000 0.197 1
La2 0.000 0.500 0.000 1
Au1 0.000 0.000 0.390 1
Cl1 0.000 0.000 0.000 1
# Formation energy without anion corrections = -71.4 kJ per mole of atoms
# Relative energy among the computed polymorphs = 187 meV/atom

5.
# Cs2ThCl5F PBE-GGA relaxed
data_Cs2ThCl5F
_chemical_formula_sum 'Cs4 Th2 Cl10 F2'
_space_group_name_H-M_alt 'I 4 m m'
_space_group_IT_number 107
_space_group_name_Hall 'I 4 -2'
_cell_length_a 7.895
_cell_length_b 7.895
_cell_length_c 10.578
_cell_angle_alpha 90.00
_cell_angle_beta 90.00
_cell_angle_gamma 90.00
loop_
_atom_site_label
_atom_site_fract_x
_atom_site_fract_y
_atom_site_fract_z
_atom_site_occupancy
Cs1 0.000 0.500 0.000 1
Th1 0.000 0.000 0.252 1
Cl1 0.000 0.000 0.997 1
Cl2 0.243 0.243 0.248 1
F1 0.000 0.000 0.455 1
# Formation energy without anion corrections = -231.3 kJ per mole of atoms

6.
# LaThAl3 PBE-GGA relaxed
data_LaThAl3
_chemical_formula_sum 'La4 Th4 Al12'
_space_group_name_H-M_alt 'C m c m'
_space_group_IT_number 63
_space_group_name_Hall '-C 2c 2'
_cell_length_a 4.398
_cell_length_b 27.121
_cell_length_c 4.353
_cell_angle_alpha 90.00
_cell_angle_beta 90.00
_cell_angle_gamma 90.00
loop_
_atom_site_label
_atom_site_fract_x
_atom_site_fract_y
_atom_site_fract_z
_atom_site_occupancy
La1 0.000 0.074 0.250 1
Th1 0.000 0.207 0.750 1
Al1 0.000 0.326 0.750 1
Al2 0.000 0.381 0.250 1
Al3 0.000 0.476 0.250 1
# Calculated formation energy = -0.39 eV/atom